Entry from the Alexandria database: crystalline LiCa4Ga3 at its relaxed geometry (PBE-GGA).

Total moment = 0.0000 μB/atom
DOS(E_F) = 4.316 states/eV per cell
Formation energy from the elements = -0.359 eV per atom

Unit cell a=9.0896 b=9.0896 c=9.0896 alpha=33.59 beta=33.59 gamma=33.59
Fractional coordinates of all 8 atoms:
Li 0.0000 0.0000 0.0000
Ca 0.1282 0.1282 0.1282
Ca 0.3785 0.3785 0.3785
Ca 0.6215 0.6215 0.6215
Ca 0.8718 0.8718 0.8718
Ga 0.2543 0.2543 0.2543
Ga 0.5000 0.5000 0.5000
Ga 0.7457 0.7457 0.7457